Zr2TcO4: relaxed, PBE.

Cell: 6.4974 6.4974 6.4974 Å, 120.00 90.01 120.00°
Last column: magnetic moment on the atom in μB.
Sites, in units of the cell vectors:
O: 0.1377 0.7245 0.8621  0.04
O: 0.1632 0.7755 0.3877  0.04
O: 0.1379 0.2755 0.8623  0.05
O: 0.6121 0.2245 0.3877  0.05
O: 0.5868 0.7245 0.8623  0.04
O: 0.6123 0.7755 0.3879  0.04
Zr: 0.3750 0.7500 0.1250  -0.16
Tc: 0.7500 0.5000 0.2500  3.27
Zr: 0.8750 0.2500 0.6250  -0.13
Tc: 0.0000 0.0000 0.0000  3.27
O: 0.1377 0.2755 0.4132  0.05
O: 0.6123 0.2245 0.8368  0.05
Zr: 0.3750 0.2500 0.6250  -0.12
Zr: 0.3750 0.7500 0.6250  -0.17

Values from the calculation:
Raw total energy, eV/atom: -8.72